1.
DFT (PBE) results for crystalline LaScZn2 at its relaxed geometry.

Cell lengths 9.0845, 3.6021, 6.2377 Å; angles 90.00, 105.59, 90.00 degrees
With the nearest neighbours (Å) after each atom.
Sites, in units of the cell vectors:
La  0.0000  0.0000  0.0000  6 Zn 3.23-3.36, 4 Sc 3.60, 2 La 3.60
La  0.5000  0.5000  0.0000  6 Zn 3.23-3.36, 4 Sc 3.60, 2 La 3.60
Sc  0.0000  0.5000  0.5000  6 Zn 2.80-2.85
Sc  0.5000  0.0000  0.5000  6 Zn 2.80-2.85
Zn  0.2392  0.0000  0.6713  3 Sc 2.80-2.85, 2 Zn 2.84
Zn  0.2608  0.5000  0.3287  3 Sc 2.80-2.85, 2 Zn 2.84
Zn  0.7392  0.5000  0.6713  3 Sc 2.80-2.85, 2 Zn 2.84
Zn  0.7608  0.0000  0.3287  3 Sc 2.80-2.85, 2 Zn 2.84



2.
DFT (PBE) results for crystalline LaSc2Zn at its relaxed geometry.

Cell lengths 4.5882, 4.5882, 4.7009 Å; angles 90.00, 90.00, 90.00 degrees
With the nearest neighbours (Å) after each atom.
Sites, in units of the cell vectors:
La  0.0000  0.0000  0.0000  4 Zn 3.24, 8 Sc 3.28
Sc  0.0000  0.5000  0.5000  4 Sc 3.24, 4 La 3.28, 4 Zn 3.28
Sc  0.5000  0.0000  0.5000  4 Sc 3.24, 4 La 3.28, 4 Zn 3.28
Zn  0.5000  0.5000  0.0000  4 La 3.24, 8 Sc 3.28



Table of calculated formation energy (kcal/mol of atoms), in record order: -2.99, -0.23
Table of size of the total moment (μB/atom), in record order: 0.00, 0.18